Record 1
Ba8P3HI3 PBE optimized geometry; crystal system = trigonal; spin magnetization = 0.00 μB/atom; DFT total energy = -3.7614 eV/atom
1.0
-5.155 7.941 -0.701
-3.174 -8.075 -3.854
0.073 0.906 9.735
Ba H P I
8 1 3 3
Cartesian
-4.296 -5.173 3.061 Ba
-3.014 -1.902 0.621 Ba
-3.960 5.945 2.120 Ba
-5.445 2.168 0.318 Ba
-1.549 2.231 2.448 Ba
-6.707 -1.459 2.733 Ba
-5.242 2.675 4.560 Ba
-2.811 -1.396 4.863 Ba
0.036 0.453 4.868 H
-4.128 0.386 2.590 P
-2.541 4.424 4.517 P
-1.551 -3.584 2.941 P
-4.164 -0.067 -2.277 I
-1.587 -4.038 -1.927 I
0.000 0.000 0.000 I

Record 2
Ba8HPd3I3 PBE optimized geometry; crystal system = trigonal; spin magnetization = 0.03 μB/atom; DFT total energy = -3.3894 eV/atom
1.0
-6.514 -1.896 6.226
5.151 -6.784 -3.488
4.572 6.269 6.693
Ba Pd I H
8 3 3 1
Cartesian
-0.177 1.163 3.551 Ba
-3.457 0.208 6.685 Ba
4.074 0.796 4.504 Ba
3.386 -3.574 5.880 Ba
6.665 -2.619 2.746 Ba
-0.865 -3.207 4.927 Ba
0.848 -0.165 7.646 Ba
2.360 -2.246 1.785 Ba
4.862 -0.257 1.603 Pd
-0.971 2.186 6.460 Pd
1.604 -1.206 4.716 Pd
2.576 -3.392 -1.744 I
0.000 0.000 0.000 I
-0.682 -4.340 1.369 I
2.286 3.135 3.347 H